DFT (PBE+U) results for a relaxed structure of CrGaP2O.

## Properties
M_tot	1.56	μB per formula unit
offset from the most stable computed form	0	meV/atom

a b c (Å): 4.8404 4.8404 3.5280
angles (deg): 90.00 90.00 90.00
Closest atoms and distances in Å follow each position.
Fractional coordinates of all 5 atoms:
Ga 0.5000 0.5000 0.5000  8 P 2.99
P 0.0000 0.5000 0.0000  2 Cr 2.42
P 0.5000 0.0000 0.0000  2 Cr 2.42
O 0.0000 0.0000 0.5000  2 Cr 1.76
Cr 0.0000 0.0000 0.0000  2 O 1.76